{
  "formula": "NaNd3Y2Se6",
  "functional": "PBE",
  "state": "relaxed",
  "lattice": [[-3.0309, -3.2737, -5.6550], [4.9438, -3.4473, 3.9442], [-5.6020, -0.1996, 4.6504]],
  "species": ["Se", "Se", "Se", "Se", "Se", "Se", "Y", "Y", "Na", "Nd", "Nd", "Nd"],
  "frac_coords": [[0.7445, 0.7445, 0.2342], [0.5846, 0.9204, 0.7596], [0.0796, 0.4154, 0.2404], [0.9204, 0.5846, 0.7596], [0.4154, 0.0796, 0.2404], [0.2555, 0.2555, 0.7658], [0.3344, 0.6656, 0.0000], [0.6656, 0.3344, 0.0000], [0.0000, 0.0000, 0.0000], [0.5000, 0.5000, 0.5000], [0.8375, 0.1625, 0.5000], [0.1625, 0.8375, 0.5000]],
  "density_g_cm3": 5.96,
  "spacegroup": "C2/m (12)",
  "e_form_raw_kj_per_mol_atoms": -171.5,
  "n_ef_per_ev_cell": 5.2,
  "volume_a3_per_fu": 309
}

=====

{
  "formula": "Na3Nd3ZrSe8",
  "functional": "PBE",
  "state": "relaxed",
  "lattice": [[-0.4599, -7.5550, 3.6586], [5.5917, 5.6559, 2.7238], [-8.3519, 1.2595, 1.5509]],
  "species": ["Se", "Se", "Se", "Se", "Se", "Se", "Se", "Se", "Zr", "Na", "Na", "Na", "Nd", "Nd", "Nd"],
  "frac_coords": [[0.2293, 0.4586, 0.7229], [0.2540, 0.5080, 0.2622], [0.7707, 0.5414, 0.2771], [0.7644, 0.9937, 0.7229], [0.2356, 0.0063, 0.2771], [0.7707, 0.0063, 0.2771], [0.2293, 0.9937, 0.7229], [0.7460, 0.4920, 0.7378], [0.0000, 0.0000, 0.5000], [0.0000, 0.5000, 0.0000], [0.5000, 0.5000, 0.0000], [0.0000, 0.0000, 0.0000], [0.5000, 0.5000, 0.5000], [0.0000, 0.5000, 0.5000], [0.5000, 0.0000, 0.5000]],
  "density_g_cm3": 4.69,
  "spacegroup": "R-3m (166)",
  "e_form_raw_kj_per_mol_atoms": -154.6,
  "volume_a3_per_fu": 434
}

=====

{
  "formula": "Na2NdZrSe4",
  "functional": "PBE",
  "state": "relaxed",
  "lattice": [[-0.6252, 2.9567, 2.6842], [-5.9260, -3.2089, 2.1545], [5.6675, -2.5631, 4.1432]],
  "species": ["Zr", "Se", "Se", "Se", "Se", "Na", "Na", "Nd"],
  "frac_coords": [[0.5000, 0.5000, 0.0000], [0.0000, 0.7259, 0.2272], [0.0000, 0.2741, 0.7728], [0.5000, 0.2645, 0.2361], [0.5000, 0.7355, 0.7639], [0.0000, 0.5000, 0.5000], [0.5000, 0.0000, 0.5000], [0.0000, 0.0000, 0.0000]],
  "density_g_cm3": 4.88,
  "spacegroup": "P2/m (10)",
  "e_form_raw_kj_per_mol_atoms": -140.6,
  "n_ef_per_ev_cell": 3.2,
  "volume_a3_per_fu": 203
}

=====

{
  "formula": "Na3NdZr2Se6",
  "functional": "PBE",
  "state": "relaxed",
  "lattice": [[6.9042, -0.0054, -0.0053], [-3.4551, 5.9775, -0.0053], [-1.1554, -2.0006, 7.1490]],
  "species": ["Se", "Se", "Se", "Se", "Se", "Se", "Zr", "Zr", "Na", "Na", "Na", "Nd"],
  "frac_coords": [[0.4316, 0.0774, 0.2305], [0.0774, 0.4316, 0.2305], [0.7226, 0.7226, 0.2294], [0.2774, 0.2774, 0.7706], [0.9226, 0.5684, 0.7695], [0.5684, 0.9226, 0.7695], [0.6679, 0.3321, 0.0000], [0.3321, 0.6679, 0.0000], [0.1603, 0.8397, 0.5000], [0.8397, 0.1603, 0.5000], [0.5000, 0.5000, 0.5000], [0.0000, 0.0000, 0.0000]],
  "density_g_cm3": 4.90,
  "spacegroup": "C2/m (12)",
  "e_form_raw_kj_per_mol_atoms": -135.5,
  "n_ef_per_ev_cell": 4.4,
  "volume_a3_per_fu": 295
}

=====

{
  "formula": "Na3Nd2ZrSe6",
  "functional": "PBE",
  "state": "relaxed",
  "lattice": [[-5.2098, -1.8108, -4.5690], [2.6435, -4.8718, 4.5359], [-3.9923, 4.0829, 4.8162]],
  "species": ["Nd", "Nd", "Na", "Na", "Na", "Se", "Se", "Se", "Se", "Se", "Se", "Zr"],
  "frac_coords": [[0.3336, 0.6664, 0.0000], [0.6664, 0.3336, 0.0000], [0.1700, 0.8300, 0.5000], [0.5000, 0.5000, 0.5000], [0.8300, 0.1700, 0.5000], [0.7656, 0.7656, 0.2325], [0.6086, 0.9217, 0.7660], [0.3914, 0.0783, 0.2340], [0.2344, 0.2344, 0.7675], [0.9217, 0.6086, 0.7660], [0.0783, 0.3914, 0.2340], [0.0000, 0.0000, 0.0000]],
  "density_g_cm3": 4.88,
  "spacegroup": "C2/m (12)",
  "e_form_raw_kj_per_mol_atoms": -147.4,
  "n_ef_per_ev_cell": 4.5,
  "volume_a3_per_fu": 314
}

=====

{
  "formula": "NaNdSi",
  "functional": "PBE",
  "state": "relaxed",
  "lattice": [[-2.3814, 2.7294, 1.0556], [-3.4006, -2.9847, 0.0459], [0.2237, -3.5365, 9.6490]],
  "species": ["Nd", "Nd", "Si", "Si", "Na", "Na"],
  "frac_coords": [[0.2500, 0.9240, 0.1520], [0.7500, 0.0760, 0.8480], [0.7500, 0.4618, 0.0765], [0.2500, 0.5382, 0.9235], [0.7500, 0.7130, 0.5740], [0.2500, 0.2870, 0.4260]],
  "density_g_cm3": 3.79,
  "spacegroup": "Cmcm (63)",
  "e_form_raw_kj_per_mol_atoms": -29.0,
  "n_ef_per_ev_cell": 2.9,
  "volume_a3_per_fu": 86
}